Entry 1:
Computed, not measured: Hf8RePt2 after structural relaxation at the PBE-GGA level of DFT.

abc: 8.233 8.233 6.235
angles: 99.37 99.37 33.06
Positions (direct):
Hf1 0.029 0.029 0.253
Hf2 0.189 0.189 0.807
Hf3 0.336 0.336 0.546
Hf4 0.413 0.413 0.059
Hf5 0.587 0.587 0.941
Hf6 0.664 0.664 0.454
Hf7 0.811 0.811 0.193
Hf8 0.971 0.971 0.747
Re1 0.500 0.500 0.500
Pt1 0.202 0.202 0.230
Pt2 0.798 0.798 0.770

Properties
- Magnetization: 0.000 μB per cell
- Energy of formation from the pure elements: -0.451 eV/atom
- Theoretical density: 14.65 Mg/m³

Entry 2:
Computed, not measured: HfRe2Pt after structural relaxation at the PBE-GGA level of DFT.

abc: 10.458 10.458 10.458
angles: 159.27 159.27 29.47
Positions (direct):
Hf1 0.000 0.000 0.000
Hf2 0.750 0.250 0.500
Re1 0.151 0.625 0.026
Re2 0.375 0.401 0.526
Re3 0.599 0.125 0.974
Re4 0.875 0.849 0.474
Pt1 0.250 0.750 0.500
Pt2 0.500 0.500 0.000

Properties
- Magnetization: 0.000 μB per cell
- Energy of formation from the pure elements: 0.234 eV/atom
- Distance to the lowest polymorph of the same formula: 0.058 eV per atom
- Theoretical density: 17.31 Mg/m³

Entry 3:
Computed, not measured: HfRe3Pt after structural relaxation at the PBE-GGA level of DFT.

abc: 4.678 4.678 4.678
angles: 90.00 90.00 90.00
Positions (direct):
Hf1 0.000 0.000 0.000
Re1 0.000 0.000 0.500
Re2 0.000 0.500 0.000
Re3 0.500 0.000 0.000
Pt1 0.500 0.500 0.500

Properties
- Magnetization: 0.000 μB per cell
- Energy of formation from the pure elements: 2.540 eV/atom
- Distance to the lowest polymorph of the same formula: 0.585 eV per atom
- Theoretical density: 15.12 Mg/m³

Entry 4:
Computed, not measured: HfRe3Pt after structural relaxation at the PBE-GGA level of DFT.

abc: 4.726 4.726 4.726
angles: 90.00 90.00 90.00
Positions (direct):
Hf1 0.000 0.000 0.000
Re1 0.000 0.500 0.500
Re2 0.500 0.000 0.500
Re3 0.500 0.500 0.000
Pt1 0.500 0.500 0.500

Properties
- Magnetization: 0.000 μB per cell
- Energy of formation from the pure elements: 1.955 eV/atom
- Distance to the lowest polymorph of the same formula: 0.000 eV per atom
- Theoretical density: 14.67 Mg/m³